The following is a PBE calculation of a geometry-optimized Y4ZnPN2 structure, from OQMD via LeMat-Bulk.

Magnetization, μB/atom: 0.009
Space group: P-6m2
Calculated density, g cm⁻³: 5.170
Calculated total energy, eV for the cell shown: -58.2

abc: 3.5926 3.5926 13.7941
angles: 90.00 90.00 120.00
Fractional positions:
Zn  0.6667  0.3333  0.0000
P  0.3333  0.6667  0.5000
N  0.0000  0.0000  0.2650
N  0.0000  0.0000  0.7350
Y  0.3333  0.6667  0.8331
Y  0.6667  0.3333  0.6354
Y  0.6667  0.3333  0.3646
Y  0.3333  0.6667  0.1669